Record 1
# TiGaRePt (PBE-GGA, optimized geometry)
data_TiGaRePt
_chemical_formula_sum 'Ti4 Ga4 Re4 Pt4'
_cell_length_a 6.210
_cell_length_b 6.210
_cell_length_c 6.210
_cell_angle_alpha 90.00
_cell_angle_beta 90.00
_cell_angle_gamma 90.00
_symmetry_space_group_name_H-M 'F -4 3 m'
_symmetry_Int_Tables_number 216
_symmetry_space_group_name_Hall 'F -4 2 3'
loop_
_atom_site_label
_atom_site_fract_x
_atom_site_fract_y
_atom_site_fract_z
Ti1 0.000 0.000 0.000
Ga1 0.000 0.000 0.500
Re1 0.250 0.250 0.250
Pt1 0.250 0.250 0.750
# **DFT formation energy**: -0.4760 eV/atom
# **Crystal system**: cubic
# **Density of states at the Fermi level**: 0.5 states/eV/cell

Record 2
# Li3GeAs (PBE-GGA, optimized geometry)
data_Li3GeAs
_chemical_formula_sum 'Li12 Ge4 As4'
_cell_length_a 8.529
_cell_length_b 8.446
_cell_length_c 5.241
_cell_angle_alpha 90.00
_cell_angle_beta 90.00
_cell_angle_gamma 90.00
_symmetry_space_group_name_H-M 'I m a 2'
_symmetry_Int_Tables_number 46
_symmetry_space_group_name_Hall 'I 2 -2a'
loop_
_atom_site_label
_atom_site_fract_x
_atom_site_fract_y
_atom_site_fract_z
Li1 0.033 0.249 0.000
Li2 0.250 0.011 0.250
Ge1 0.250 0.702 0.249
As1 0.250 0.091 0.750
# **DFT formation energy**: -0.3235 eV/atom
# **Crystal system**: orthorhombic
# **Density of states at the Fermi level**: 3.9 states/eV/cell

no.,total moment (μB/f.u.),VASP energy (eV per cell)
1,0.0,-125.3
2,0.0,-66.5